Entry 1:
The following is a PBE-GGA calculation of an optimized crystal structure of Sc5Pd2Pt5, from the Alexandria database.

## Properties
The space group is C2/m. The calculation puts the volume at 17.6 Å³/atom. The mass density comes out at 11.1 g/cm³. The formation enthalpy at 0 K is -1.079 eV/atom.

Cell lengths 4.6647, 4.6647, 11.3585 Å; angles 92.07, 92.07, 58.59 degrees
Positions (direct):
Sc 0.0000 0.0000 0.0000
Sc 0.3256 0.3256 0.8367
Sc 0.3492 0.3492 0.3620
Sc 0.6508 0.6508 0.6380
Sc 0.6744 0.6744 0.1633
Pd 0.0108 0.0108 0.2489
Pd 0.9892 0.9892 0.7511
Pt 0.0000 0.0000 0.5000
Pt 0.3204 0.3204 0.6069
Pt 0.3385 0.3385 0.0930
Pt 0.6615 0.6615 0.9070
Pt 0.6796 0.6796 0.3931

Entry 2:
The following is a PBE-GGA calculation of an optimized crystal structure of ScPd2Pt2, from the Alexandria database.

## Properties
The space group is P4/mbm. The calculation puts the volume at 17.4 Å³/atom. The value obtained for the relative energy among the computed polymorphs is 0.00 eV per formula unit. The mass density comes out at 12.4 g/cm³. The formation enthalpy at 0 K is -0.492 eV/atom.

Cell lengths 6.8458, 6.8458, 3.7060 Å; angles 90.00, 90.00, 90.00 degrees
Positions (direct):
Sc 0.0000 0.0000 0.0000
Sc 0.5000 0.5000 0.0000
Pd 0.1603 0.3397 0.5000
Pd 0.3397 0.8397 0.5000
Pd 0.6603 0.1603 0.5000
Pd 0.8397 0.6603 0.5000
Pt 0.1390 0.6390 0.0000
Pt 0.3610 0.1390 0.0000
Pt 0.6390 0.8610 0.0000
Pt 0.8610 0.3610 0.0000

Entry 3:
The following is a PBE-GGA calculation of an optimized crystal structure of ScPdPt2, from the Alexandria database.

## Properties
The space group is I-42d. The calculation puts the volume at 17.7 Å³/atom. The mass density comes out at 12.7 g/cm³. The formation enthalpy at 0 K is -0.574 eV/atom.

Cell lengths 9.7419, 9.7419, 9.7419 Å; angles 156.93, 156.93, 32.85 degrees
Positions (direct):
Sc 0.0000 0.0000 0.0000
Sc 0.7500 0.2500 0.5000
Pd 0.2500 0.7500 0.5000
Pd 0.5000 0.5000 0.0000
Pt 0.1309 0.6250 0.0059
Pt 0.3750 0.3809 0.5059
Pt 0.6191 0.1250 0.9941
Pt 0.8750 0.8691 0.4941

> Which of these has the lowest formation enthalpy at 0 K?

Sc5Pd2Pt5

> mass density of number 3 (ScPdPt2)?

12.7 g/cm³

> Look up the mass density of the third one.

12.7 g/cm³

> The lowest mass density belongs to which entry?

Sc5Pd2Pt5